Density functional theory data (PBE-GGA) for FePtW2 after structural relaxation.

It has space group Cmmm (No. 65), with a = 5.431 Å, b = 7.896 Å, c = 2.723 Å, α = 90.00°, β = 90.00° and γ = 90.00°. The asymmetric unit holds Fe at (0.000, 0.000, 0.000), Pt at (0.000, 0.500, 0.000) and W at (0.250, 0.250, 0.500).

Its energy above the lowest structure with this stoichiometry is 0.069 eV per atom. The total moment comes out at 0.140 μB/atom. The volume comes out at 116.8 Å³ per cell. As for the formation energy: 0.6 kJ per mole of atoms.


Density functional theory data (PBE-GGA) for FePtW2 after structural relaxation.

It has space group Cm (No. 8), with a = 9.076 Å, b = 2.707 Å, c = 4.907 Å, α = 90.00°, β = 98.37° and γ = 90.00°. The asymmetric unit holds Fe at (0.000, 0.000, 0.000), Pt at (0.252, 0.000, 0.746), W at (0.004, 0.500, 0.506) and W at (0.248, 0.500, 0.226).

Its energy above the lowest structure with this stoichiometry is 0.099 eV per atom. The total moment comes out at 0.489 μB/atom. The volume comes out at 119.3 Å³ per cell. As for the formation energy: 3.5 kJ per mole of atoms.


Density functional theory data (PBE-GGA) for FePt2W after structural relaxation.

It has space group I-42d (No. 122), with a = 5.489 Å, b = 5.489 Å, c = 11.105 Å, α = 90.00°, β = 90.00° and γ = 90.00°. The asymmetric unit holds Fe at (0.000, 0.000, 0.000), Pt at (0.227, 0.250, 0.125) and W at (0.000, 0.000, 0.500).

The total moment comes out at 0.040 μB/atom. The volume comes out at 334.6 Å³ per cell. As for the formation energy: 90.2 kJ per mole of atoms.


Density functional theory data (PBE-GGA) for FePtW2 after structural relaxation.

It has space group P2/m (No. 10), with a = 2.736 Å, b = 3.862 Å, c = 5.501 Å, α = 90.00°, β = 91.75° and γ = 90.00°. The asymmetric unit holds Fe at (0.000, 0.000, 0.000), Pt at (0.000, 0.000, 0.500) and W at (0.483, 0.500, 0.231).

Its energy above the lowest structure with this stoichiometry is 0.017 eV per atom. The total moment comes out at 0.000 μB/atom. The volume comes out at 58.1 Å³ per cell. As for the formation energy: -4.4 kJ per mole of atoms.


Density functional theory data (PBE-GGA) for Fe4PtW after structural relaxation.

It has space group F-43m (No. 216), with a = 6.679 Å, b = 6.679 Å, c = 6.679 Å, α = 90.00°, β = 90.00° and γ = 90.00°. The asymmetric unit holds Fe at (0.125, 0.125, 0.125), Pt at (0.000, 0.000, 0.500) and W at (0.250, 0.250, 0.750).

The total moment comes out at 1.050 μB/atom. The volume comes out at 297.9 Å³ per cell. As for the formation energy: -9.6 kJ per mole of atoms.


Density functional theory data (PBE-GGA) for FePtW2 after structural relaxation.

It has space group I-42d (No. 122), with a = 3.748 Å, b = 3.748 Å, c = 18.562 Å, α = 90.00°, β = 90.00° and γ = 90.00°. The asymmetric unit holds Fe at (0.000, 0.000, 0.000), Pt at (0.000, 0.000, 0.500) and W at (0.236, 0.250, 0.125).

Its energy above the lowest structure with this stoichiometry is 0.672 eV per atom. The total moment comes out at 0.573 μB/atom. The volume comes out at 260.8 Å³ per cell. As for the formation energy: 58.8 kJ per mole of atoms.


Density functional theory data (PBE-GGA) for FePtW after structural relaxation.

It has space group I4mm (No. 107), with a = 2.725 Å, b = 2.725 Å, c = 11.711 Å, α = 90.00°, β = 90.00° and γ = 90.00°. The asymmetric unit holds Fe at (0.000, 0.000, 0.000), Pt at (0.000, 0.000, 0.338) and W at (0.000, 0.000, 0.664).

Its energy above the lowest structure with this stoichiometry is 0.027 eV per atom. The total moment comes out at 0.806 μB/atom. The volume comes out at 87.0 Å³ per cell. As for the formation energy: -6.7 kJ per mole of atoms.


Density functional theory data (PBE-GGA) for FePt2W after structural relaxation.

It has space group P4/mmm (No. 123), with a = 3.816 Å, b = 3.816 Å, c = 3.986 Å, α = 90.00°, β = 90.00° and γ = 90.00°. The asymmetric unit holds Fe at (0.000, 0.000, 0.000), Pt at (0.000, 0.500, 0.500) and W at (0.500, 0.500, 0.000).

The total moment comes out at 0.234 μB/atom. The volume comes out at 58.1 Å³ per cell. As for the formation energy: -7.8 kJ per mole of atoms.


Density functional theory data (PBE-GGA) for Fe2PtW after structural relaxation.

It has space group I-4m2 (No. 119), with a = 3.752 Å, b = 3.752 Å, c = 7.670 Å, α = 90.00°, β = 90.00° and γ = 90.00°. The asymmetric unit holds Fe at (0.000, 0.000, 0.000), Fe at (0.000, 0.500, 0.250), Pt at (0.000, 0.000, 0.500) and W at (0.000, 0.500, 0.750).

Its energy above the lowest structure with this stoichiometry is 0.000 eV per atom. The total moment comes out at 0.820 μB/atom. The volume comes out at 108.0 Å³ per cell. As for the formation energy: -9.4 kJ per mole of atoms.


Density functional theory data (PBE-GGA) for FePt2W after structural relaxation.

It has space group Pmm2 (No. 25), with a = 2.740 Å, b = 4.445 Å, c = 4.870 Å, α = 90.00°, β = 90.00° and γ = 90.00°. The asymmetric unit holds Fe at (0.000, 0.000, 0.000), Pt at (0.500, 0.000, 0.494), Pt at (0.500, 0.500, 0.837) and W at (0.000, 0.500, 0.323).

The total moment comes out at 0.674 μB/atom. The volume comes out at 59.3 Å³ per cell. As for the formation energy: -20.6 kJ per mole of atoms.


Density functional theory data (PBE-GGA) for Fe2PtW after structural relaxation.

It has space group Fm-3m (No. 225), with a = 5.947 Å, b = 5.947 Å, c = 5.947 Å, α = 90.00°, β = 90.00° and γ = 90.00°. The asymmetric unit holds Fe at (0.250, 0.250, 0.250), Pt at (0.000, 0.000, 0.000) and W at (0.000, 0.000, 0.500).

Its energy above the lowest structure with this stoichiometry is 0.268 eV per atom. The total moment comes out at 0.000 μB/atom. The volume comes out at 210.4 Å³ per cell. As for the formation energy: 16.4 kJ per mole of atoms.


Density functional theory data (PBE-GGA) for Fe2Pt8W after structural relaxation.

It has space group Cmmm (No. 65), with a = 8.104 Å, b = 10.498 Å, c = 4.050 Å, α = 90.00°, β = 90.00° and γ = 90.00°. The asymmetric unit holds Fe at (0.000, 0.113, 0.000), Pt at (0.000, 0.246, 0.500), Pt at (0.167, 0.000, 0.500), Pt at (0.172, 0.368, 0.000) and W at (0.000, 0.500, 0.500).

The total moment comes out at 0.593 μB/atom. The volume comes out at 344.5 Å³ per cell. As for the formation energy: -12.1 kJ per mole of atoms.


Density functional theory data (PBE-GGA) for Fe2PtW after structural relaxation.

It has space group I-42d (No. 122), with a = 6.727 Å, b = 6.727 Å, c = 5.234 Å, α = 90.00°, β = 90.00° and γ = 90.00°. The asymmetric unit holds Fe at (0.236, 0.250, 0.125), Pt at (0.000, 0.000, 0.500) and W at (0.000, 0.000, 0.000).

Its energy above the lowest structure with this stoichiometry is 0.680 eV per atom. The total moment comes out at 0.699 μB/atom. The volume comes out at 236.8 Å³ per cell. As for the formation energy: 56.1 kJ per mole of atoms.


Density functional theory data (PBE-GGA) for Fe2PtW after structural relaxation.

It has space group P4/mmm (No. 123), with a = 2.660 Å, b = 2.660 Å, c = 7.908 Å, α = 90.00°, β = 90.00° and γ = 90.00°. The asymmetric unit holds Fe at (0.000, 0.000, 0.243), Pt at (0.500, 0.500, 0.000) and W at (0.500, 0.500, 0.500).

Its energy above the lowest structure with this stoichiometry is 0.130 eV per atom. The total moment comes out at 1.290 μB/atom. The volume comes out at 56.0 Å³ per cell. As for the formation energy: 3.1 kJ per mole of atoms.


Density functional theory data (PBE-GGA) for Fe2PtW after structural relaxation.

It has space group P4/mmm (No. 123), with a = 3.061 Å, b = 3.061 Å, c = 5.932 Å, α = 90.00°, β = 90.00° and γ = 90.00°. The asymmetric unit holds Fe at (0.000, 0.000, 0.247), Pt at (0.500, 0.500, 0.500) and W at (0.500, 0.500, 0.000).

Its energy above the lowest structure with this stoichiometry is 0.156 eV per atom. The total moment comes out at 1.258 μB/atom. The volume comes out at 55.6 Å³ per cell. As for the formation energy: 5.6 kJ per mole of atoms.


Density functional theory data (PBE-GGA) for Fe2Pt9W after structural relaxation.

It has space group P4/mmm (No. 123), with a = 3.946 Å, b = 3.946 Å, c = 11.760 Å, α = 90.00°, β = 90.00° and γ = 90.00°. The asymmetric unit holds Fe at (0.000, 0.000, 0.160), Pt at (0.000, 0.500, 0.000), Pt at (0.000, 0.500, 0.335), Pt at (0.500, 0.500, 0.167), Pt at (0.500, 0.500, 0.500) and W at (0.000, 0.000, 0.500).

The total moment comes out at 0.761 μB/atom. The volume comes out at 183.1 Å³ per cell. As for the formation energy: -21.0 kJ per mole of atoms.


Density functional theory data (PBE-GGA) for FePt2W after structural relaxation.

It has space group R-3m (No. 166, hexagonal axes), with a = 2.7774 Å, b = 2.7774 Å, c = 26.8635 Å, α = 90.00°, β = 90.00° and γ = 120.00°. The asymmetric unit holds Fe at (0.0000, 0.0000, 0.0000), Pt at (0.0000, 0.0000, 0.2525) and W at (0.0000, 0.0000, 0.5000).

The total moment comes out at 0.725 μB/atom. The volume comes out at 179.5 Å³ per cell. As for the formation energy: -9.8 kJ per mole of atoms.


Density functional theory data (PBE-GGA) for FePtW2 after structural relaxation.

It has space group I4/mmm (No. 139), with a = 3.852 Å, b = 3.852 Å, c = 7.806 Å, α = 90.00°, β = 90.00° and γ = 90.00°. The asymmetric unit holds Fe at (0.000, 0.000, 0.000), Pt at (0.000, 0.000, 0.500) and W at (0.000, 0.500, 0.250).

Its energy above the lowest structure with this stoichiometry is 0.002 eV per atom. The total moment comes out at 0.006 μB/atom. The volume comes out at 115.8 Å³ per cell. As for the formation energy: -5.9 kJ per mole of atoms.


Density functional theory data (PBE-GGA) for Fe2PtW after structural relaxation.

It has space group R-3m (No. 166, hexagonal axes), with a = 2.7036 Å, b = 2.7036 Å, c = 26.8630 Å, α = 90.00°, β = 90.00° and γ = 120.00°. The asymmetric unit holds Fe at (0.0000, 0.0000, 0.2487), Pt at (0.0000, 0.0000, 0.5000) and W at (0.0000, 0.0000, 0.0000).

Its energy above the lowest structure with this stoichiometry is 0.206 eV per atom. The total moment comes out at 1.292 μB/atom. The volume comes out at 170.0 Å³ per cell. As for the formation energy: 10.4 kJ per mole of atoms.


Density functional theory data (PBE-GGA) for Fe2PtW after structural relaxation.

It has space group Cmmm (No. 65), with a = 5.412 Å, b = 7.424 Å, c = 2.716 Å, α = 90.00°, β = 90.00° and γ = 90.00°. The asymmetric unit holds Fe at (0.250, 0.250, 0.000), Pt at (0.000, 0.000, 0.500) and W at (0.000, 0.500, 0.500).

Its energy above the lowest structure with this stoichiometry is 0.145 eV per atom. The total moment comes out at 0.900 μB/atom. The volume comes out at 109.1 Å³ per cell. As for the formation energy: 4.5 kJ per mole of atoms.